1.
KSiAu: relaxed, PBE.

Results
Energy in eV for the cell shown: -10.2
D(E_F) in states/eV/cell: 2.8
SG: No. 187
Energy relative to the elements, uncorrected in eV/f.u.: -0.371

Cell lengths 4.223, 4.223, 5.397 Å; angles 90.00, 90.00, 120.00 degrees
Element x y z (fractional)
K 0.000 0.000 0.000
Si 0.333 0.667 0.500
Au 0.667 0.333 0.500

---

2.
KSiAu: relaxed, PBE.

Results
Energy in eV for the cell shown: -9.9
D(E_F) in states/eV/cell: 0.6
SG: No. 107
Energy relative to the elements, uncorrected in eV/f.u.: -0.108

Cell lengths 6.506, 6.506, 6.506 Å; angles 148.46, 148.46, 45.20 degrees
Element x y z (fractional)
K 0.000 0.000 0.000
Si 0.716 0.716 0.000
Au 0.278 0.278 0.000

---

3.
K2SiAu2: relaxed, PBE.

Results
Energy in eV for the cell shown: -30.6
D(E_F) in states/eV/cell: 2.3
SG: No. 15
Energy relative to the elements, uncorrected in eV/f.u.: -1.132

Cell lengths 6.258, 6.258, 7.793 Å; angles 97.62, 97.62, 65.83 degrees
Element x y z (fractional)
K 0.033 0.268 0.136
K 0.268 0.033 0.636
K 0.732 0.967 0.364
K 0.967 0.732 0.864
Si 0.445 0.555 0.250
Si 0.555 0.445 0.750
Au 0.238 0.518 0.493
Au 0.482 0.762 0.007
Au 0.518 0.238 0.993
Au 0.762 0.482 0.507

---

4.
KSi2Au: relaxed, PBE.

Results
Energy in eV for the cell shown: -14.1
D(E_F) in states/eV/cell: 1.0
SG: No. 44
Energy relative to the elements, uncorrected in eV/f.u.: 1.169

Cell lengths 5.796, 5.796, 5.796 Å; angles 142.39, 113.04, 79.43 degrees
Element x y z (fractional)
K 0.000 0.000 0.000
Si 0.522 0.522 0.000
Si 0.677 0.177 0.500
Au 0.336 0.836 0.500

---

5.
KSi2Au: relaxed, PBE.

Results
Energy in eV for the cell shown: -13.0
D(E_F) in states/eV/cell: 0.3
SG: No. 225
Energy relative to the elements, uncorrected in eV/f.u.: 2.250

Cell lengths 4.836, 4.836, 4.836 Å; angles 60.00, 60.00, 60.00 degrees
Element x y z (fractional)
K 0.000 0.000 0.000
Si 0.250 0.250 0.250
Si 0.750 0.750 0.750
Au 0.500 0.500 0.500

---

6.
K2Si2Au: relaxed, PBE.

Results
Energy in eV for the cell shown: -32.9
D(E_F) in states/eV/cell: 5.7
SG: No. 127
Energy relative to the elements, uncorrected in eV/f.u.: -0.132

Cell lengths 6.530, 6.530, 5.663 Å; angles 90.00, 90.00, 90.00 degrees
Element x y z (fractional)
K 0.182 0.318 0.000
K 0.318 0.818 0.000
K 0.682 0.182 0.000
K 0.818 0.682 0.000
Si 0.129 0.629 0.500
Si 0.371 0.129 0.500
Si 0.629 0.871 0.500
Si 0.871 0.371 0.500
Au 0.000 0.000 0.500
Au 0.500 0.500 0.500

---

7.
KSi2Au: relaxed, PBE.

Results
Energy in eV for the cell shown: -14.5
D(E_F) in states/eV/cell: 1.1
SG: No. 6
Energy relative to the elements, uncorrected in eV/f.u.: 0.770

Cell lengths 2.880, 4.014, 7.720 Å; angles 90.00, 90.04, 90.00 degrees
Element x y z (fractional)
K 0.000 0.000 0.000
Si 0.500 0.500 0.310
Si 0.507 0.000 0.485
Au 0.499 0.500 0.692

---

8.
KSi2Au: relaxed, PBE.

Results
Energy in eV for the cell shown: -15.3
D(E_F) in states/eV/cell: 0.1
SG: No. 166
Energy relative to the elements, uncorrected in eV/f.u.: -0.122

Cell lengths 6.937, 6.937, 6.937 Å; angles 35.19, 35.19, 35.19 degrees
Element x y z (fractional)
K 0.000 0.000 0.000
Si 0.208 0.208 0.208
Si 0.792 0.792 0.792
Au 0.500 0.500 0.500

---

9.
KSiAu4: relaxed, PBE.

Results
Energy in eV for the cell shown: -18.7
D(E_F) in states/eV/cell: 6.8
SG: No. 216
Energy relative to the elements, uncorrected in eV/f.u.: 0.943

Cell lengths 5.647, 5.647, 5.647 Å; angles 60.00, 60.00, 60.00 degrees
Element x y z (fractional)
K 0.000 0.000 0.000
Si 0.750 0.750 0.750
Au 0.375 0.375 0.375
Au 0.375 0.375 0.874
Au 0.375 0.874 0.375
Au 0.874 0.375 0.375

---

10.
K2SiAu4: relaxed, PBE.

Results
Energy in eV for the cell shown: -22.0
D(E_F) in states/eV/cell: 0.9
SG: No. 139
Energy relative to the elements, uncorrected in eV/f.u.: -1.252

Cell lengths 9.209, 9.209, 9.209 Å; angles 149.14, 149.14, 44.20 degrees
Element x y z (fractional)
K 0.151 0.151 0.000
K 0.849 0.849 0.000
Si 0.500 0.500 0.000
Au 0.000 0.500 0.500
Au 0.354 0.354 0.000
Au 0.500 0.000 0.500
Au 0.646 0.646 0.000

---

11.
KSi2Au: relaxed, PBE.

Results
Energy in eV for the cell shown: -15.4
D(E_F) in states/eV/cell: 1.9
SG: No. 10
Energy relative to the elements, uncorrected in eV/f.u.: -0.150

Cell lengths 4.066, 4.322, 6.041 Å; angles 90.00, 102.63, 90.00 degrees
Element x y z (fractional)
K 0.000 0.000 0.000
Si 0.278 0.500 0.620
Si 0.722 0.500 0.380
Au 0.500 0.000 0.500

---

12.
K2SiAu3: relaxed, PBE.

Results
Energy in eV for the cell shown: -17.8
D(E_F) in states/eV/cell: 1.1
SG: No. 71
Energy relative to the elements, uncorrected in eV/f.u.: -0.337

Cell lengths 7.907, 7.907, 7.907 Å; angles 149.52, 138.35, 52.48 degrees
Element x y z (fractional)
K 0.193 0.193 0.000
K 0.807 0.807 0.000
Si 0.500 0.500 0.000
Au 0.000 0.500 0.500
Au 0.397 0.897 0.500
Au 0.603 0.103 0.500